No. 1
ZnMo2Au PBE optimized geometry; space group = Cmm2, No. 35
1.0
1.6397 -2.1821 0.0000
1.6397 2.1821 0.0000
0.0000 0.0000 8.9729
Zn Mo Au
1 2 1
direct
0.0000 0.0000 0.0000
0.0000 0.0000 0.4858
0.5000 0.5000 0.2423
0.5000 0.5000 0.7510

***

No. 2
SrCeNi2P2 PBE optimized geometry; space group = P-3m1, No. 164
1.0
3.9788 0.0000 0.0000
-1.9894 3.4458 0.0000
0.0000 0.0000 8.2518
Sr Ce Ni P
1 1 2 2
direct
0.0000 0.0000 0.0000
0.0000 0.0000 0.5000
0.3333 0.6667 0.2761
0.6667 0.3333 0.7239
0.3333 0.6667 0.7337
0.6667 0.3333 0.2663

***

No. 3
Ca2Pm2Pd3 PBE optimized geometry; space group = R-3m, No. 166
1.0
2.5212 1.4556 8.1838
-2.5212 1.4556 8.1838
0.0000 -2.9112 8.1838
Ca Pm Pd
2 2 3
direct
0.1272 0.1272 0.1272
0.8728 0.8728 0.8728
0.3773 0.3773 0.3773
0.6227 0.6227 0.6227
0.0000 0.0000 0.0000
0.2560 0.2560 0.2560
0.7440 0.7440 0.7440

***

No. 4
Sr2CeHoSe4 PBE optimized geometry; space group = P2/m, No. 10; E_form (uncorrected) = -1.865 eV/atom
1.0
7.3601 0.0000 0.0000
0.0000 4.2436 0.0000
-2.4427 0.0000 7.1101
Sr Ce Ho Se
2 1 1 4
direct
0.0000 0.0000 0.0000
0.5000 0.5000 0.0000
0.0000 0.5000 0.5000
0.5000 0.0000 0.5000
0.2534 0.0000 0.7373
0.2631 0.5000 0.2682
0.7369 0.5000 0.7318
0.7466 0.0000 0.2627

***

No. 5
LaNpRh2 PBE optimized geometry; space group = P4/mmm, No. 123
1.0
3.4434 0.0000 0.0000
0.0000 3.4434 0.0000
0.0000 0.0000 7.2502
La Np Rh
1 1 2
direct
0.0000 0.0000 0.0000
0.0000 0.0000 0.5000
0.5000 0.5000 0.2885
0.5000 0.5000 0.7115

***

No. 6
SrPuAgAu PBE optimized geometry; space group = F-43m, No. 216
1.0
0.0000 3.7687 3.7687
3.7687 0.0000 3.7687
3.7687 3.7687 0.0000
Sr Pu Ag Au
1 1 1 1
direct
0.0000 0.0000 0.0000
0.5000 0.5000 0.5000
0.7500 0.7500 0.7500
0.2500 0.2500 0.2500

***

No. 7
Th2PaCd PBE optimized geometry; space group = P4/mmm, No. 123
1.0
5.7243 0.0000 0.0000
0.0000 5.7243 0.0000
0.0000 0.0000 3.4099
Th Pa Cd
2 1 1
direct
0.0000 0.5000 0.0000
0.5000 0.0000 0.0000
0.0000 0.0000 0.5000
0.5000 0.5000 0.5000

***

No. 8
K3Cu2Cl6 PBE optimized geometry; space group = P-1, No. 2; E_form (uncorrected) = -1.292 eV/atom
1.0
4.2754 0.0000 0.0000
-0.0016 5.9973 0.0000
-2.1265 -2.8922 12.5346
K Cu Cl
3 2 6
direct
0.0000 0.0000 0.0000
0.1772 0.0929 0.3532
0.8228 0.9071 0.6468
0.3872 0.4580 0.7766
0.6128 0.5420 0.2234
0.0808 0.6137 0.1595
0.3007 0.2590 0.6024
0.4100 0.8515 0.8210
0.5900 0.1485 0.1790
0.6993 0.7410 0.3976
0.9192 0.3863 0.8405

***

No. 9
AcSnBRh3 PBE optimized geometry; space group = Cmcm, No. 63
1.0
3.0259 -6.4189 0.0000
3.0259 6.4189 0.0000
0.0000 0.0000 6.0041
Ac Sn B Rh
2 2 2 6
direct
0.2496 0.7504 0.7500
0.7504 0.2496 0.2500
0.1143 0.8857 0.2500
0.8857 0.1143 0.7500
0.4781 0.5219 0.2500
0.5219 0.4781 0.7500
0.2678 0.2678 0.0000
0.2678 0.2678 0.5000
0.3172 0.6828 0.2500
0.6828 0.3172 0.7500
0.7322 0.7322 0.0000
0.7322 0.7322 0.5000

***

No. 10
AlTl4Os PBE optimized geometry; space group = F-43m, No. 216
1.0
0.0000 4.3010 4.3010
4.3010 0.0000 4.3010
4.3010 4.3010 0.0000
Al Tl Os
1 4 1
direct
0.0000 0.0000 0.0000
0.3755 0.3755 0.3755
0.3755 0.3755 0.8734
0.3755 0.8734 0.3755
0.8734 0.3755 0.3755
0.7500 0.7500 0.7500

***

No. 11
PuNpNbOs PBE optimized geometry; space group = F-43m, No. 216
1.0
0.0000 3.3406 3.3406
3.3406 0.0000 3.3406
3.3406 3.3406 0.0000
Pu Np Nb Os
1 1 1 1
direct
0.0000 0.0000 0.0000
0.7500 0.7500 0.7500
0.5000 0.5000 0.5000
0.2500 0.2500 0.2500

***

No. 12
PmHo3Hg6 PBE optimized geometry; space group = P2_1/m, No. 11
1.0
9.1790 0.0000 0.0000
0.0000 5.1741 0.0000
-3.2500 0.0000 10.6843
Pm Ho Hg
2 6 12
direct
0.0658 0.2500 0.3857
0.9342 0.7500 0.6143
0.2304 0.2500 0.0045
0.3527 0.7500 0.8040
0.4867 0.2500 0.6127
0.5133 0.7500 0.3873
0.6473 0.2500 0.1960
0.7696 0.7500 0.9955
0.0635 0.7500 0.9066
0.1403 0.7500 0.2058
0.1720 0.2500 0.6908
0.2524 0.7500 0.5190
0.3573 0.2500 0.2924
0.4639 0.7500 0.0931
0.5361 0.2500 0.9069
0.6427 0.7500 0.7076
0.7476 0.2500 0.4810
0.8280 0.7500 0.3092
0.8597 0.2500 0.7942
0.9365 0.2500 0.0934

***

| no. | ρ (g/cm3) | total magnetic moment (μB per cell) | DFT total energy (eV/atom) |
| --- | --- | --- | --- |
| 1 | 11.75 | 0.0 | -6.472 |
| 2 | 5.97 | 0.2 | -6.041 |
| 3 | 6.35 | 0.0 | -4.805 |
| 4 | 5.95 | 1.5 | -5.342 |
| 5 | 11.24 | 3.4 | -8.553 |
| 6 | 9.87 | 6.1 | -5.768 |
| 7 | 12.00 | 0.0 | -6.308 |
| 8 | 2.36 | 1.0 | -3.343 |
| 9 | 9.47 | 0.0 | -6.749 |
| 10 | 10.80 | 1.9 | -2.906 |
| 11 | 17.02 | 7.1 | -11.963 |
| 12 | 12.06 | 0.0 | -2.460 |